1.
Material: AcPm2ThS4
Method: DFT, GGA-PBE
State: optimized geometry

Results
- N(E_F) (states/eV per cell) = 3.30
- E (eV per cell) = -53.161

Cell: 4.074 7.139 7.101 Å, 70.80 90.00 90.00°
Fractional coordinates of all 8 atoms:
Ac 0.500 0.500 0.000
Pm 0.000 0.000 0.000
Pm 0.500 0.000 0.500
Th 0.000 0.500 0.500
S 0.000 0.763 0.738
S 0.000 0.237 0.262
S 0.500 0.757 0.256
S 0.500 0.243 0.744

2.
Material: Ac2PmTl3S6
Method: DFT, GGA-PBE
State: optimized geometry

Results
- N(E_F) (states/eV per cell) = 0.00
- E (eV per cell) = -62.641

Cell: 7.517 7.517 7.863 Å, 99.16 99.16 119.96°
Fractional coordinates of all 12 atoms:
Ac 0.333 0.667 0.000
Ac 0.667 0.333 0.000
Pm 0.000 0.000 0.000
Tl 0.165 0.835 0.500
Tl 0.835 0.165 0.500
Tl 0.500 0.500 0.500
S 0.931 0.611 0.793
S 0.750 0.750 0.210
S 0.069 0.389 0.207
S 0.611 0.931 0.793
S 0.250 0.250 0.790
S 0.389 0.069 0.207

3.
Material: Ac3Pm2TmS6
Method: DFT, GGA-PBE
State: optimized geometry

Results
- N(E_F) (states/eV per cell) = 5.37
- E (eV per cell) = -74.978

Cell: 7.094 7.094 7.299 Å, 99.35 99.35 120.12°
Fractional coordinates of all 12 atoms:
Ac 0.170 0.830 0.500
Ac 0.830 0.170 0.500
Ac 0.500 0.500 0.500
Pm 0.333 0.667 0.000
Pm 0.667 0.333 0.000
Tm 0.000 0.000 0.000
S 0.926 0.604 0.777
S 0.754 0.754 0.227
S 0.074 0.396 0.223
S 0.604 0.926 0.777
S 0.246 0.246 0.773
S 0.396 0.074 0.223

4.
Material: AcPmTm2S4
Method: DFT, GGA-PBE
State: optimized geometry

Results
- N(E_F) (states/eV per cell) = 3.13
- E (eV per cell) = -50.006

Cell: 3.917 7.203 6.816 Å, 71.71 90.00 90.00°
Fractional coordinates of all 8 atoms:
Ac 0.500 0.500 0.000
Pm 0.000 0.500 0.500
Tm 0.000 0.000 0.000
Tm 0.500 0.000 0.500
S 0.000 0.782 0.733
S 0.000 0.218 0.267
S 0.500 0.777 0.247
S 0.500 0.223 0.753